Entry a
The following is a GGA-PBE calculation of Ce2Ni2Ge3 after structural relaxation, from the Alexandria database.

The space group is Cmcm, No. 63.

Lattice parameters (Å, degrees): 9.2742 9.2742 6.7065 90.00 90.00 153.26
Closest atoms and distances in Å follow each position.
Positions (direct):
Ce 0.0512 0.9488 0.7500  9 Ge 3.00-3.28
Ce 0.1614 0.8386 0.2500  6 Ni 2.87-3.03, 6 Ge 3.02-3.04
Ce 0.8386 0.1614 0.7500  6 Ni 2.87-3.03, 6 Ge 3.02-3.04
Ce 0.9488 0.0512 0.2500  9 Ge 3.00-3.28
Ni 0.3029 0.6971 0.0547  4 Ge 2.47-2.54, 1 Ni 2.62
Ni 0.3029 0.6971 0.4453  4 Ge 2.47-2.54, 1 Ni 2.62
Ni 0.6971 0.3029 0.5547  4 Ge 2.47-2.54, 1 Ni 2.62
Ni 0.6971 0.3029 0.9453  4 Ge 2.47-2.54, 1 Ni 2.62
Ge 0.2192 0.7808 0.7500  6 Ni 2.54
Ge 0.4332 0.5668 0.5596  1 Ni 2.47, 2 Ge 2.54-2.55
Ge 0.4332 0.5668 0.9404  1 Ni 2.47, 2 Ge 2.54-2.55
Ge 0.5668 0.4332 0.0596  1 Ni 2.47, 2 Ge 2.54-2.55
Ge 0.5668 0.4332 0.4404  1 Ni 2.47, 2 Ge 2.54-2.55
Ge 0.7808 0.2192 0.2500  6 Ni 2.54

Entry b
The following is a GGA-PBE calculation of Ce2Ni2Ge3 after structural relaxation, from the Alexandria database.

The space group is C2/m, No. 12.

Lattice parameters (Å, degrees): 9.7833 4.1516 6.6844 90.00 108.84 90.00
Closest atoms and distances in Å follow each position.
Positions (direct):
Ce 0.1526 0.0000 0.2893  3 Ni 2.80-2.98, 2 Ge 3.04
Ce 0.3474 0.5000 0.7107  3 Ni 2.80-2.98, 2 Ge 3.04
Ce 0.6526 0.5000 0.2893  3 Ni 2.80-2.98, 2 Ge 3.04
Ce 0.8474 0.0000 0.7107  3 Ni 2.80-2.98, 2 Ge 3.04
Ni 0.1446 0.0000 0.7700  3 Ge 2.45-2.53
Ni 0.3554 0.5000 0.2300  3 Ge 2.45-2.53
Ni 0.6446 0.5000 0.7700  3 Ge 2.45-2.53
Ni 0.8554 0.0000 0.2300  3 Ge 2.45-2.53
Ge 0.0000 0.5000 0.5000  2 Ge 2.81, 4 Ni 2.81
Ge 0.1124 0.5000 0.9429  3 Ni 2.45-2.53, 1 Ge 2.55
Ge 0.3876 0.0000 0.0571  3 Ni 2.45-2.53, 1 Ge 2.55
Ge 0.5000 0.0000 0.5000  2 Ge 2.81, 4 Ni 2.81
Ge 0.6124 0.0000 0.9429  3 Ni 2.45-2.53, 1 Ge 2.55
Ge 0.8876 0.5000 0.0571  3 Ni 2.45-2.53, 1 Ge 2.55

Best to worst by energy: entry a, entry b.

Entry a
The following is a GGA-PBE calculation of Ce2NpGe after structural relaxation, from the Alexandria database.

The space group is P4/mmm, No. 123.

Lattice parameters (Å, degrees): 4.6461 4.6461 4.3456 90.00 90.00 90.00
Closest atoms and distances in Å follow each position.
Positions (direct):
Ce 0.0000 0.5000 0.0000  4 Ge 3.18, 4 Np 3.18, 4 Ce 3.29
Ce 0.5000 0.0000 0.0000  4 Ge 3.18, 4 Np 3.18, 4 Ce 3.29
Np 0.0000 0.0000 0.5000  8 Ce 3.18, 4 Ge 3.29
Ge 0.5000 0.5000 0.5000  8 Ce 3.18, 4 Np 3.29

Entry b
The following is a GGA-PBE calculation of Ce2NpGe after structural relaxation, from the Alexandria database.

The space group is R-3m, No. 166.

Lattice parameters (Å, degrees): 3.6330 3.6330 23.1369 90.00 90.00 120.00
Closest atoms and distances in Å follow each position.
Positions (direct):
Ce 0.0000 0.0000 0.2353  3 Np 2.63
Ce 0.0000 0.0000 0.7647  3 Np 2.63
Ce 0.3333 0.6667 0.4314  3 Np 2.63
Ce 0.3333 0.6667 0.9019  3 Np 2.63
Ce 0.6667 0.3333 0.0981  3 Np 2.63
Ce 0.6667 0.3333 0.5686  3 Np 2.63
Np 0.0000 0.0000 0.5000  6 Ce 2.63
Np 0.3333 0.6667 0.1667  6 Ce 2.63
Np 0.6667 0.3333 0.8333  6 Ce 2.63
Ge 0.0000 0.0000 0.0000  6 Ce 3.09
Ge 0.3333 0.6667 0.6667  6 Ce 3.09
Ge 0.6667 0.3333 0.3333  6 Ce 3.09

Best to worst by energy: entry a, entry b.

Entry a
The following is a GGA-PBE calculation of CeGeO2 after structural relaxation, from the Alexandria database.

The space group is R-3m, No. 166.

Lattice parameters (Å, degrees): 3.5792 3.5792 19.7950 90.00 90.00 120.00
Closest atoms and distances in Å follow each position.
Positions (direct):
Ce 0.0000 0.0000 0.0000  2 O 2.09
Ce 0.3333 0.6667 0.6667  2 O 2.09
Ce 0.6667 0.3333 0.3333  2 O 2.09
Ge 0.0000 0.0000 0.5000  6 O 2.39
Ge 0.3333 0.6667 0.1667  6 O 2.39
Ge 0.6667 0.3333 0.8333  6 O 2.39
O 0.0000 0.0000 0.1057  1 Ce 2.09
O 0.0000 0.0000 0.8943  1 Ce 2.09
O 0.3333 0.6667 0.5610  1 Ce 2.09
O 0.3333 0.6667 0.7723  1 Ce 2.09
O 0.6667 0.3333 0.2277  1 Ce 2.09
O 0.6667 0.3333 0.4390  1 Ce 2.09

Entry b
The following is a GGA-PBE calculation of CeGeO2 after structural relaxation, from the Alexandria database.

The space group is I4_1/amd, No. 141.

Lattice parameters (Å, degrees): 7.5385 7.5385 7.5385 126.98 126.98 78.28
Closest atoms and distances in Å follow each position.
Positions (direct):
Ce 0.0000 0.0000 0.0000  6 O 2.36-2.39
Ce 0.0000 0.0000 0.5000  6 O 2.36-2.39
Ce 0.0000 0.5000 0.0000  6 O 2.36-2.39
Ce 0.5000 0.0000 0.5000  6 O 2.36-2.39
Ge 0.0000 0.5000 0.5000  4 O 2.50
Ge 0.5000 0.0000 0.0000  4 O 2.50
Ge 0.5000 0.5000 0.0000  4 O 2.50
Ge 0.5000 0.5000 0.5000  4 O 2.50
O 0.1902 0.2016 0.9886  3 Ce 2.36-2.39, 2 Ge 2.50
O 0.2016 0.1902 0.4886  3 Ce 2.36-2.39, 2 Ge 2.50
O 0.2016 0.7130 0.0114  3 Ce 2.36-2.39, 2 Ge 2.50
O 0.2870 0.7984 0.4886  3 Ce 2.36-2.39, 2 Ge 2.50
O 0.7130 0.2016 0.5114  3 Ce 2.36-2.39, 2 Ge 2.50
O 0.7984 0.2870 0.9886  3 Ce 2.36-2.39, 2 Ge 2.50
O 0.7984 0.8098 0.5114  3 Ce 2.36-2.39, 2 Ge 2.50
O 0.8098 0.7984 0.0114  3 Ce 2.36-2.39, 2 Ge 2.50

Best to worst by energy: entry b, entry a.

Entry a
The following is a GGA-PBE calculation of Ce3Ge4Os2 after structural relaxation, from the Alexandria database.

The space group is C2/m, No. 12.

Lattice parameters (Å, degrees): 5.9057 5.9057 8.3114 107.54 107.54 43.30
Closest atoms and distances in Å follow each position.
Positions (direct):
Ce 0.0000 0.0000 0.0000  8 Ge 3.08-3.45
Ce 0.3764 0.3764 0.3066  7 Ge 3.01-3.24, 4 Os 3.06-3.33
Ce 0.6236 0.6236 0.6934  7 Ge 3.01-3.24, 4 Os 3.06-3.33
Ge 0.0934 0.0934 0.3947  3 Os 2.48-2.56
Ge 0.2907 0.2907 0.9245  1 Os 2.47
Ge 0.7093 0.7093 0.0755  1 Os 2.47
Ge 0.9066 0.9066 0.6053  3 Os 2.48-2.56
Os 0.3093 0.3093 0.6363  4 Ge 2.47-2.56
Os 0.6907 0.6907 0.3637  4 Ge 2.47-2.56

Entry b
The following is a GGA-PBE calculation of Ce3Ge4Os2 after structural relaxation, from the Alexandria database.

The space group is C2/m, No. 12.

Lattice parameters (Å, degrees): 5.9327 5.9327 8.2468 105.62 105.62 42.80
Closest atoms and distances in Å follow each position.
Positions (direct):
Ce 0.0000 0.0000 0.0000  8 Ge 2.98-3.29, 4 Os 3.09
Ce 0.3248 0.3248 0.3570  3 Os 2.92-3.20, 7 Ge 3.11-3.19
Ce 0.6752 0.6752 0.6430  3 Os 2.92-3.20, 7 Ge 3.11-3.19
Ge 0.0397 0.0397 0.3729  2 Os 2.48, 1 Ge 2.50
Ge 0.2661 0.2661 0.9225  1 Os 2.47, 2 Ge 2.59
Ge 0.7339 0.7339 0.0775  1 Os 2.47, 2 Ge 2.59
Ge 0.9603 0.9603 0.6271  2 Os 2.48, 1 Ge 2.50
Os 0.3981 0.3981 0.7268  3 Ge 2.47-2.48
Os 0.6019 0.6019 0.2732  3 Ge 2.47-2.48

Best to worst by energy: entry a, entry b.

Entry a
The following is a GGA-PBE calculation of Ce4GeOs after structural relaxation, from the Alexandria database.

The space group is P2_1/m, No. 11.

Lattice parameters (Å, degrees): 5.2629 6.4520 8.5539 90.00 98.68 90.00
Closest atoms and distances in Å follow each position.
Positions (direct):
Ce 0.1814 0.2500 0.0582  1 Os 2.61
Ce 0.2176 0.7500 0.3968  1 Os 2.70
Ce 0.3045 0.5299 0.7481  1 Ce 2.84, 1 Os 2.97
Ce 0.3045 0.9701 0.7481  1 Ce 2.84, 1 Os 2.97
Ce 0.6955 0.0299 0.2519  1 Ce 2.84, 1 Os 2.97
Ce 0.6955 0.4701 0.2519  1 Ce 2.84, 1 Os 2.97
Ce 0.7824 0.2500 0.6032  1 Os 2.70
Ce 0.8186 0.7500 0.9418  1 Os 2.61
Ge 0.2392 0.2500 0.4212  11 Ce 3.04-3.32
Ge 0.7608 0.7500 0.5788  11 Ce 3.04-3.32
Os 0.2901 0.7500 0.0905  2 Ce 2.61-2.70
Os 0.7099 0.2500 0.9095  2 Ce 2.61-2.70

Entry b
The following is a GGA-PBE calculation of Ce4GeOs after structural relaxation, from the Alexandria database.

The space group is C2/c, No. 15.

Lattice parameters (Å, degrees): 8.1000 8.1000 6.9475 111.43 111.43 111.92
Closest atoms and distances in Å follow each position.
Positions (direct):
Ce 0.0266 0.4982 0.2467  2 Os 2.84-3.01, 1 Ce 2.99, 2 Ge 3.04
Ce 0.2206 0.2491 0.2471  2 Os 2.84-3.01, 1 Ce 2.99, 2 Ge 3.04
Ce 0.2491 0.2206 0.7471  2 Os 2.84-3.01, 1 Ce 2.99, 2 Ge 3.04
Ce 0.4982 0.0266 0.7467  2 Os 2.84-3.01, 1 Ce 2.99, 2 Ge 3.04
Ce 0.5018 0.9734 0.2533  2 Os 2.84-3.01, 1 Ce 2.99, 2 Ge 3.04
Ce 0.7509 0.7794 0.2529  2 Os 2.84-3.01, 1 Ce 2.99, 2 Ge 3.04
Ce 0.7794 0.7509 0.7529  2 Os 2.84-3.01, 1 Ce 2.99, 2 Ge 3.04
Ce 0.9734 0.5018 0.7533  2 Os 2.84-3.01, 1 Ce 2.99, 2 Ge 3.04
Ge 0.3748 0.6252 0.7500  8 Ce 3.04
Ge 0.6252 0.3748 0.2500  8 Ce 3.04
Os 0.1248 0.8752 0.2500  8 Ce 2.84-3.01
Os 0.8752 0.1248 0.7500  8 Ce 2.84-3.01

Best to worst by energy: entry a, entry b.

Entry a
The following is a GGA-PBE calculation of Ce3Ge2Os after structural relaxation, from the Alexandria database.

The space group is C2/c, No. 15.

Lattice parameters (Å, degrees): 6.0198 6.0198 8.4068 100.87 100.87 97.61
Closest atoms and distances in Å follow each position.
Positions (direct):
Ce 0.2246 0.2813 0.9644  1 Os 2.63
Ce 0.2440 0.7560 0.7500  1 Os 2.73
Ce 0.2813 0.2246 0.4644  1 Os 2.63
Ce 0.7187 0.7754 0.5356  1 Os 2.63
Ce 0.7560 0.2440 0.2500  1 Os 2.73
Ce 0.7754 0.7187 0.0356  1 Os 2.63
Ge 0.1243 0.6961 0.3716  1 Os 2.59, 1 Ge 2.81
Ge 0.3039 0.8757 0.1284  1 Os 2.59, 1 Ge 2.81
Ge 0.6961 0.1243 0.8716  1 Os 2.59, 1 Ge 2.81
Ge 0.8757 0.3039 0.6284  1 Os 2.59, 1 Ge 2.81
Os 0.4549 0.5451 0.2500  2 Ge 2.59, 3 Ce 2.63-2.73
Os 0.5451 0.4549 0.7500  2 Ge 2.59, 3 Ce 2.63-2.73

Entry b
The following is a GGA-PBE calculation of Ce3Ge2Os after structural relaxation, from the Alexandria database.

The space group is Pnma, No. 62.

Lattice parameters (Å, degrees): 12.1345 4.3918 10.5181 90.00 90.00 90.00
Closest atoms and distances in Å follow each position.
Positions (direct):
Ce 0.0483 0.2500 0.0993  1 Os 2.79, 4 Ge 3.05-3.12
Ce 0.1217 0.7500 0.5568  3 Os 2.98-3.06, 5 Ge 3.10-3.13, 1 Ce 3.32
Ce 0.2404 0.2500 0.7840  2 Os 2.93, 5 Ge 3.07-3.17
Ce 0.2596 0.7500 0.2840  2 Os 2.93, 5 Ge 3.07-3.17
Ce 0.3783 0.2500 0.0568  3 Os 2.98-3.06, 5 Ge 3.10-3.13, 1 Ce 3.32
Ce 0.4517 0.7500 0.5993  1 Os 2.79, 4 Ge 3.05-3.12
Ce 0.5483 0.2500 0.4007  1 Os 2.79, 4 Ge 3.05-3.12
Ce 0.6217 0.7500 0.9432  3 Os 2.98-3.06, 5 Ge 3.10-3.13, 1 Ce 3.32
Ce 0.7404 0.2500 0.7160  2 Os 2.93, 5 Ge 3.07-3.17
Ce 0.7596 0.7500 0.2160  2 Os 2.93, 5 Ge 3.07-3.17
Ce 0.8783 0.2500 0.4432  3 Os 2.98-3.06, 5 Ge 3.10-3.13, 1 Ce 3.32
Ce 0.9517 0.7500 0.9007  1 Os 2.79, 4 Ge 3.05-3.12
Ge 0.0035 0.7500 0.2940  2 Os 2.64
Ge 0.2041 0.7500 0.9893  1 Os 2.65
Ge 0.2959 0.2500 0.4893  1 Os 2.65
Ge 0.4965 0.2500 0.7940  2 Os 2.64
Ge 0.5035 0.7500 0.2060  2 Os 2.64
Ge 0.7041 0.7500 0.5107  1 Os 2.65
Ge 0.7959 0.2500 0.0107  1 Os 2.65
Ge 0.9965 0.2500 0.7060  2 Os 2.64
Os 0.1116 0.2500 0.3543  3 Ge 2.64-2.65, 3 Ce 2.79-2.93
Os 0.3884 0.7500 0.8543  3 Ge 2.64-2.65, 3 Ce 2.79-2.93
Os 0.6116 0.2500 0.1457  3 Ge 2.64-2.65, 3 Ce 2.79-2.93
Os 0.8884 0.7500 0.6457  3 Ge 2.64-2.65, 3 Ce 2.79-2.93

Best to worst by energy: entry b, entry a.